(1)
! Cs2LaF5 (PBE, relaxed); values from VASP
! V (Å³/cell): 721
! Total DFT energy (no corrections) (eV per atom): -5.4721
! Formation energy from raw total energies (kJ/mol of formula units): -2681
&SYSTEM
  ibrav = 0, nat = 32, ntyp = 3
/
ATOMIC_SPECIES
Cs 132.91 Cs.upf
La 138.91 La.upf
F 19.00 F.upf
CELL_PARAMETERS angstrom
12.213 0.000 0.000
0.000 8.038 0.000
0.000 0.000 7.345
ATOMIC_POSITIONS crystal
Cs 0.171 0.002 0.033
Cs 0.171 0.498 0.033
Cs 0.329 0.502 0.533
Cs 0.329 0.998 0.533
Cs 0.671 0.002 0.467
Cs 0.671 0.498 0.467
Cs 0.829 0.502 0.967
Cs 0.829 0.998 0.967
La 0.003 0.250 0.554
La 0.497 0.750 0.054
La 0.503 0.250 0.946
La 0.997 0.750 0.446
F 0.016 0.250 0.872
F 0.071 0.532 0.641
F 0.071 0.968 0.641
F 0.161 0.250 0.376
F 0.181 0.750 0.350
F 0.319 0.250 0.850
F 0.339 0.750 0.876
F 0.429 0.032 0.141
F 0.429 0.468 0.141
F 0.484 0.750 0.372
F 0.516 0.250 0.628
F 0.571 0.532 0.859
F 0.571 0.968 0.859
F 0.661 0.250 0.124
F 0.681 0.750 0.150
F 0.819 0.250 0.650
F 0.839 0.750 0.624
F 0.929 0.032 0.359
F 0.929 0.468 0.359
F 0.984 0.750 0.128



(2)
! CsLaMgF6 (PBE, relaxed); values from VASP
! V (Å³/cell): 326
! Total DFT energy (no corrections) (eV per atom): -5.6968
! Formation energy from raw total energies (kJ/mol of formula units): -3152
&SYSTEM
  ibrav = 0, nat = 18, ntyp = 4
/
ATOMIC_SPECIES
Cs 132.91 Cs.upf
La 138.91 La.upf
Mg 24.30 Mg.upf
F 19.00 F.upf
CELL_PARAMETERS angstrom
-3.803 4.110 5.218
3.803 -4.110 5.218
3.803 4.110 -5.218
ATOMIC_POSITIONS crystal
Cs 0.338 0.088 0.250
Cs 0.662 0.912 0.750
La 0.000 0.500 0.500
La 0.500 0.500 0.000
Mg 0.000 0.000 0.500
Mg 0.000 0.500 0.000
F 0.043 0.356 0.167
F 0.043 0.875 0.687
F 0.055 0.305 0.750
F 0.312 0.125 0.667
F 0.312 0.644 0.187
F 0.363 0.613 0.750
F 0.637 0.387 0.250
F 0.688 0.356 0.813
F 0.688 0.875 0.333
F 0.945 0.695 0.250
F 0.957 0.125 0.313
F 0.957 0.644 0.833



(3)
! Cs2LaMg3F12 (PBE, relaxed); values from VASP
! V (Å³/cell): 306
! Total DFT energy (no corrections) (eV per atom): -5.1839
! Formation energy from raw total energies (kJ/mol of formula units): -5735
&SYSTEM
  ibrav = 0, nat = 18, ntyp = 4
/
ATOMIC_SPECIES
Cs 132.91 Cs.upf
La 138.91 La.upf
Mg 24.30 Mg.upf
F 19.00 F.upf
CELL_PARAMETERS angstrom
3.830 2.211 6.030
-3.830 2.211 6.030
0.000 -4.423 6.030
ATOMIC_POSITIONS crystal
Cs 0.110 0.110 0.110
Cs 0.890 0.890 0.890
La 0.500 0.500 0.500
Mg 0.000 0.500 0.500
Mg 0.500 0.000 0.500
Mg 0.500 0.500 0.000
F 0.121 0.607 0.607
F 0.216 0.216 0.587
F 0.216 0.587 0.216
F 0.393 0.393 0.879
F 0.393 0.879 0.393
F 0.413 0.784 0.784
F 0.587 0.216 0.216
F 0.607 0.121 0.607
F 0.607 0.607 0.121
F 0.784 0.413 0.784
F 0.784 0.784 0.413
F 0.879 0.393 0.393



(4)
! CsNaLaF6 (PBE, relaxed); values from VASP
! V (Å³/cell): 407
! Total DFT energy (no corrections) (eV per atom): -5.0097
! Formation energy from raw total energies (kJ/mol of formula units): -2582
&SYSTEM
  ibrav = 0, nat = 18, ntyp = 4
/
ATOMIC_SPECIES
Cs 132.91 Cs.upf
Na 22.99 Na.upf
La 138.91 La.upf
F 19.00 F.upf
CELL_PARAMETERS angstrom
-3.871 4.363 6.024
3.871 -4.363 6.024
3.871 4.363 -6.024
ATOMIC_POSITIONS crystal
Cs 0.335 0.085 0.250
Cs 0.665 0.915 0.750
Na 0.000 0.000 0.500
Na 0.000 0.500 0.000
La 0.000 0.500 0.500
La 0.500 0.500 0.000
F 0.054 0.394 0.216
F 0.054 0.838 0.661
F 0.095 0.845 0.250
F 0.322 0.162 0.716
F 0.322 0.606 0.161
F 0.327 0.577 0.750
F 0.673 0.423 0.250
F 0.678 0.394 0.839
F 0.678 0.838 0.284
F 0.905 0.155 0.750
F 0.946 0.162 0.339
F 0.946 0.606 0.784